! Be3Ru (PBE, optimized geometry); values from VASP
&SYSTEM
  ibrav = 0, nat = 8, ntyp = 2
/
ATOMIC_SPECIES
Be 9.01 Be.upf
Ru 101.07 Ru.upf
CELL_PARAMETERS angstrom
-1.6764 1.6764 6.8061
1.6764 -1.6764 6.8061
1.6764 1.6764 -6.8061
ATOMIC_POSITIONS crystal
Be 0.0000 0.5000 0.5000
Be 0.1333 0.1333 0.0000
Be 0.2500 0.7500 0.5000
Be 0.5000 0.0000 0.5000
Be 0.7500 0.2500 0.5000
Be 0.8667 0.8667 0.0000
Ru 0.3836 0.3836 0.0000
Ru 0.6164 0.6164 0.0000
! ΔH_f (0 K)	-0.332	eV/atom